# Be2TlPdF8, relaxed, DFT PBE
data_Be2TlPdF8
_chemical_formula_sum 'Be4 Tl2 Pd2 F16'
_symmetry_space_group_name_H-M 'C 1 2/m 1'
_symmetry_Int_Tables_number 12
_cell_length_a 8.017
_cell_length_b 5.464
_cell_length_c 8.297
_cell_angle_alpha 90.00
_cell_angle_beta 96.80
_cell_angle_gamma 90.00
loop_
_symmetry_equiv_pos_as_xyz
'x,y,z'
'-x,-y,-z'
'-x,y,-z'
'x,-y,z'
'x+1/2,y+1/2,z'
'-x+1/2,-y+1/2,-z'
'-x+1/2,y+1/2,-z'
'x+1/2,-y+1/2,z'
loop_
_atom_site_label
_atom_site_fract_x
_atom_site_fract_y
_atom_site_fract_z
_atom_site_occupancy
Be1 0.120 0.000 0.294 1
Tl1 0.000 0.500 0.000 1
Pd1 0.000 0.500 0.500 1
F1 0.009 0.235 0.315 1
F2 0.189 0.000 0.135 1
F3 0.245 0.500 0.541 1
# E_tot (eV/atom): -4.82
# Energy relative to the elements, uncorrected (eV per atom): -2.3224